The following is a GGA+U calculation of a geometry-optimized Na2ZnCoF6 structure, from Alexandria.

Summary:
* E: -89.60 eV/cell
* SG: P2_1/c (14)
* calculated density: 3.857 g/cm³

a = 5.4776 Å, b = 5.6805 Å, c = 7.8675 Å
α = 90.00°, β = 90.00°, γ = 90.00°
With the nearest neighbours (Å) after each atom.
Positions (direct):
F1 0.1967 0.1999 0.0575  1 Co 2.06, 1 Zn 2.07
Na1 0.4834 0.4419 0.2495  5 F 2.31-2.58
F2 0.3033 0.6999 0.4425  1 Co 2.06, 1 Zn 2.07
F3 0.3035 0.7005 0.0553  1 Co 2.06, 1 Zn 2.06
Co1 0.0000 0.5000 0.5000  6 F 2.06-2.07
F4 0.6081 0.0411 0.2498  1 Co 2.07, 1 Zn 2.07, 1 Na 2.31
F5 0.1081 0.4589 0.7498  1 Co 2.07, 1 Zn 2.07, 1 Na 2.31
Na2 0.9834 0.0581 0.7495  5 F 2.31-2.58
Na3 0.0166 0.9419 0.2505  5 F 2.31-2.58
Na4 0.5166 0.5581 0.7505  5 F 2.31-2.58
Zn1 0.5000 0.0000 0.5000  6 F 2.06-2.07
Zn2 0.0000 0.5000 0.0000  6 F 2.06-2.07
F6 0.8033 0.8001 0.9425  1 Co 2.06, 1 Zn 2.07
F7 0.8919 0.5411 0.2502  1 Co 2.07, 1 Zn 2.07, 1 Na 2.31
F8 0.1965 0.2005 0.4447  1 Co 2.06, 1 Zn 2.06
F9 0.6965 0.2995 0.9447  1 Co 2.06, 1 Zn 2.06
F10 0.6967 0.3001 0.5575  1 Co 2.06, 1 Zn 2.07
Co2 0.5000 0.0000 0.0000  6 F 2.06-2.07
F11 0.3919 0.9589 0.7502  1 Co 2.07, 1 Zn 2.07, 1 Na 2.31
F12 0.8035 0.7995 0.5553  1 Co 2.06, 1 Zn 2.06